No. 1
A plane-wave DFT calculation with PBE-GGA was carried out for CsMnMoCl6 after structural relaxation.

Its space group is No. 149. The calculation puts the calculated total energy at -4.759 eV/atom. Its uncorrected formation energy is -1.211 eV per atom.

Cell: 6.567 6.567 7.860 Å, 90.01 90.00 60.00°
Fractional coordinates of all 9 atoms:
Cs 0.000 0.000 0.000
Mn 0.667 0.667 0.500
Mo 0.333 0.333 0.500
Cl 0.010 0.366 0.320
Cl 0.366 0.010 0.680
Cl 0.624 0.366 0.680
Cl 0.010 0.624 0.680
Cl 0.366 0.624 0.320
Cl 0.624 0.010 0.320

No. 2
A plane-wave DFT calculation with PBE-GGA was carried out for CsMn2MoCl8 after structural relaxation.

Its space group is No. 155. The calculation puts the calculated total energy at -4.804 eV/atom. Its uncorrected formation energy is -1.071 eV per atom.

Cell: 7.218 7.218 10.694 Å, 70.28 70.28 60.00°
Fractional coordinates of all 12 atoms:
Cs 0.000 0.000 0.000
Mn 0.760 0.760 0.720
Mn 0.240 0.240 0.280
Mo 0.500 0.500 0.500
Cl 0.683 0.683 0.951
Cl 0.317 0.317 0.049
Cl 0.394 0.400 0.347
Cl 0.600 0.606 0.653
Cl 0.141 0.600 0.653
Cl 0.400 0.859 0.347
Cl 0.859 0.394 0.347
Cl 0.606 0.141 0.653

No. 3
A plane-wave DFT calculation with PBE-GGA was carried out for Cs2MnNCl6 after structural relaxation.

Its space group is No. 139. The calculation puts the calculated total energy at -3.825 eV/atom. Its uncorrected formation energy is -0.796 eV per atom.

Cell: 7.463 7.463 7.485 Å, 60.10 60.10 90.00°
Fractional coordinates of all 10 atoms:
Cs 0.750 0.250 0.500
Cs 0.250 0.750 0.500
N 0.500 0.500 0.000
Mn 0.000 0.000 0.000
Cl 0.217 0.217 0.566
Cl 0.783 0.783 0.434
Cl 0.218 0.218 0.000
Cl 0.782 0.782 0.000
Cl 0.782 0.218 0.000
Cl 0.218 0.782 0.000

- Number 1 is which compound?
  CsMnMoCl6